(1)
Below is crystalline PrMgCdNi at its relaxed geometry, with properties calculated at the PBE level.

Summary:
Size of the total moment: 0.00 μB/atom
SG: No. 216
Crystal system: cubic
DFT formation energy: -149 meV/atom
Calculated total energy: -3.42 eV per atom

Cell: 4.986 4.986 4.986 Å, 60.00 60.00 60.00°
Sites, in units of the cell vectors:
Pr 0.000 0.000 0.000
Mg 0.500 0.500 0.500
Cd 0.250 0.250 0.250
Ni 0.750 0.750 0.750

(2)
Below is crystalline ReIr2Os at its relaxed geometry, with properties calculated at the PBE level.

Summary:
Size of the total moment: 0.00 μB/atom
SG: No. 65
Crystal system: orthorhombic
DFT formation energy: -35 meV/atom
Calculated total energy: -10.38 eV per atom

Cell: 4.767 4.767 2.729 Å, 90.00 90.00 110.38°
Sites, in units of the cell vectors:
Re 0.000 0.000 0.000
Ir 0.000 0.500 0.500
Ir 0.500 0.000 0.500
Os 0.500 0.500 0.000